! Rb2TbPdCl6, relaxed, DFT GGA-PBE; values from VASP
&SYSTEM
  ibrav = 0, nat = 20, ntyp = 4
/
ATOMIC_SPECIES
Rb 85.47 Rb.upf
Tb 158.93 Tb.upf
Pd 106.42 Pd.upf
Cl 35.45 Cl.upf
ATOMIC_POSITIONS crystal
Rb 0.250 0.000 0.249
Rb 0.250 0.500 0.249
Rb 0.750 0.000 0.751
Rb 0.750 0.500 0.751
Tb 0.250 0.250 0.749
Tb 0.750 0.750 0.251
Pd 0.250 0.750 0.751
Pd 0.750 0.250 0.249
Cl 0.006 0.250 0.504
Cl 0.006 0.250 0.993
Cl 0.250 0.507 0.750
Cl 0.250 0.993 0.750
Cl 0.494 0.250 0.504
Cl 0.494 0.250 0.993
Cl 0.506 0.750 0.007
Cl 0.506 0.750 0.496
Cl 0.750 0.007 0.250
Cl 0.750 0.493 0.250
Cl 0.994 0.750 0.007
Cl 0.994 0.750 0.496
CELL_PARAMETERS angstrom
7.652 0.000 0.000
0.000 10.286 0.000
0.000 0.000 7.652
! * total energy: -3.969 eV per atom
! * M_tot: 2.0 μB per cell
! * space group: Pmmn (59)
! * V: 602 Å³/cell